VASP calculation (PBE-GGA) on a relaxed structure of TbPrSn2Pd4.

Output
* symmetry: P-6m2, No. 187
* energy: -5.62 eV per atom

Cell lengths 4.6185, 4.6185, 9.1456 Å; angles 90.00, 90.00, 120.00 degrees
Fractional positions:
Pd 0.6667 0.3333 0.1735
Pd 0.0000 0.0000 0.3397
Pd 0.0000 0.0000 0.6603
Pd 0.6667 0.3333 0.8265
Pr 0.0000 0.0000 0.0000
Sn 0.3333 0.6667 0.2569
Sn 0.3333 0.6667 0.7431
Tb 0.6667 0.3333 0.5000


VASP calculation (PBE-GGA) on a relaxed structure of LaTmIn2Pt4.

Output
* symmetry: P-6m2, No. 187
* energy: -5.83 eV per atom

Cell lengths 4.6193, 4.6193, 9.2030 Å; angles 90.00, 90.00, 120.00 degrees
Fractional positions:
In 0.3333 0.6667 0.2597
In 0.3333 0.6667 0.7403
La 0.0000 0.0000 0.0000
Pt 0.6667 0.3333 0.1725
Pt 0.0000 0.0000 0.3479
Pt 0.0000 0.0000 0.6521
Pt 0.6667 0.3333 0.8275
Tm 0.6667 0.3333 0.5000


VASP calculation (PBE-GGA) on a relaxed structure of Hf2Ag2Pb.

Output
* symmetry: I4/mmm, No. 139
* polymorph energy (0 for the lowest one): 92 meV per atom

Cell lengths 7.3782, 7.3782, 7.3782 Å; angles 148.25, 148.25, 45.52 degrees
Fractional positions:
Ag 0.7500 0.2500 0.5000
Ag 0.2500 0.7500 0.5000
Hf 0.3976 0.3976 0.0000
Hf 0.6024 0.6024 0.0000
Pb 0.0000 0.0000 0.0000


VASP calculation (PBE-GGA) on a relaxed structure of LiZnH3.

Output
* symmetry: Pnma, No. 62
* energy: -2.70 eV per atom

Cell lengths 5.0056, 6.8138, 4.5770 Å; angles 90.00, 90.00, 90.00 degrees
Fractional positions:
H 0.4504 0.7500 0.1297
H 0.1810 0.0660 0.1848
H 0.1810 0.4340 0.1848
H 0.6810 0.0660 0.3152
H 0.6810 0.4340 0.3152
H 0.9504 0.7500 0.3703
H 0.0496 0.2500 0.6297
H 0.3190 0.5660 0.6848
H 0.3190 0.9340 0.6848
H 0.8190 0.5660 0.8152
H 0.8190 0.9340 0.8152
H 0.5496 0.2500 0.8703
Li 0.9190 0.2500 0.0210
Li 0.4189 0.2500 0.4790
Li 0.5811 0.7500 0.5210
Li 0.0811 0.7500 0.9790
Zn 0.5000 0.0000 0.0000
Zn 0.5000 0.5000 0.0000
Zn 0.0000 0.0000 0.5000
Zn 0.0000 0.5000 0.5000


VASP calculation (PBE-GGA) on a relaxed structure of BeNiBiPd.

Output
* symmetry: F-43m, No. 216
* polymorph energy (0 for the lowest one): 0 meV per atom

Cell lengths 4.4539, 4.4539, 4.4539 Å; angles 60.00, 60.00, 60.00 degrees
Fractional positions:
Be 0.5000 0.5000 0.5000
Bi 0.0000 0.0000 0.0000
Ni 0.7500 0.7500 0.7500
Pd 0.2500 0.2500 0.2500


VASP calculation (PBE-GGA) on a relaxed structure of Ta4Mo2Pb3C3.

Output
* symmetry: C2/c, No. 15
* energy: -9.03 eV per atom

Cell lengths 5.6768, 5.6768, 14.4389 Å; angles 101.57, 101.57, 59.84 degrees
Fractional positions:
C 0.5000 0.0000 0.0000
C 0.8404 0.3304 0.0000
C 0.1596 0.6696 0.0000
C 0.3304 0.8404 0.5000
C 0.0000 0.5000 0.5000
C 0.6696 0.1596 0.5000
Mo 0.5274 0.3718 0.0777
Mo 0.6282 0.4726 0.4223
Mo 0.3718 0.5274 0.5777
Mo 0.4726 0.6282 0.9223
Pb 0.2565 0.4142 0.2484
Pb 0.9144 0.0856 0.2500
Pb 0.5858 0.7435 0.2516
Pb 0.4142 0.2565 0.7484
Pb 0.0856 0.9144 0.7500
Pb 0.7435 0.5858 0.7516
Ta 0.2031 0.0173 0.0787
Ta 0.8507 0.6940 0.0788
Ta 0.3060 0.1493 0.4212
Ta 0.9827 0.7969 0.4213
Ta 0.0173 0.2031 0.5787
Ta 0.6940 0.8507 0.5788
Ta 0.1493 0.3060 0.9212
Ta 0.7969 0.9827 0.9213


VASP calculation (PBE-GGA) on a relaxed structure of Hf4GaSiC2.

Output
* symmetry: P-6m2, No. 187
* energy: -9.12 eV per atom

Cell lengths 3.2806, 3.2806, 13.7130 Å; angles 90.00, 90.00, 120.00 degrees
Fractional positions:
C 0.3333 0.6667 0.2544
C 0.3333 0.6667 0.7456
Ga 0.0000 0.0000 0.0000
Hf 0.6667 0.3333 0.1639
Hf 0.0000 0.0000 0.3473
Hf 0.0000 0.0000 0.6527
Hf 0.6667 0.3333 0.8361
Si 0.6667 0.3333 0.5000


VASP calculation (PBE-GGA) on a relaxed structure of PrAgAu.

Output
* symmetry: F-43m, No. 216
* polymorph energy (0 for the lowest one): 381 meV per atom
* ΔE_f: -0.16 eV/atom

Cell lengths 4.9660, 4.9660, 4.9660 Å; angles 60.00, 60.00, 60.00 degrees
Fractional positions:
Ag 0.0000 0.0000 0.0000
Au 0.5000 0.5000 0.5000
Pr 0.7500 0.7500 0.7500


VASP calculation (PBE-GGA) on a relaxed structure of BaErSi.

Output
* symmetry: F-43m, No. 216
* energy: -3.27 eV per atom

Cell lengths 5.2165, 5.2165, 5.2165 Å; angles 60.00, 60.00, 60.00 degrees
Fractional positions:
Ba 0.0000 0.0000 0.0000
Er 0.2500 0.2500 0.2500
Si 0.7500 0.7500 0.7500


VASP calculation (PBE-GGA) on a relaxed structure of UTl2Cl6.

Output
* symmetry: C2/m, No. 12
* energy: -4.46 eV per atom

Cell lengths 7.3769, 7.3769, 6.7777 Å; angles 100.63, 100.63, 59.65 degrees
Fractional positions:
Cl 0.6490 0.1510 0.1656
Cl 0.1510 0.6490 0.1656
Cl 0.1596 0.1596 0.3138
Cl 0.8404 0.8404 0.6862
Cl 0.8490 0.3510 0.8344
Cl 0.3510 0.8490 0.8344
Tl 0.7047 0.7047 0.2284
Tl 0.2953 0.2953 0.7716
U 0.0000 0.0000 0.0000


VASP calculation (PBE-GGA) on a relaxed structure of DyCdInS3.

Output
* symmetry: Cmcm, No. 63
* energy: -4.49 eV per atom

Cell lengths 7.2984, 7.2984, 10.7223 Å; angles 90.00, 90.00, 32.38 degrees
Fractional positions:
Cd 0.4420 0.4420 0.2500
Cd 0.5580 0.5580 0.7500
Dy 0.0000 0.0000 0.0000
Dy 0.0000 0.0000 0.5000
In 0.7269 0.7269 0.2500
In 0.2731 0.2731 0.7500
S 0.3695 0.3695 0.0395
S 0.0616 0.0616 0.2500
S 0.3695 0.3695 0.4605
S 0.6305 0.6305 0.5395
S 0.9384 0.9384 0.7500
S 0.6305 0.6305 0.9605


VASP calculation (PBE-GGA) on a relaxed structure of ZrCuBAu.

Output
* symmetry: F-43m, No. 216
* polymorph energy (0 for the lowest one): 0 meV per atom

Cell lengths 4.4031, 4.4031, 4.4031 Å; angles 60.00, 60.00, 60.00 degrees
Fractional positions:
Au 0.5000 0.5000 0.5000
B 0.0000 0.0000 0.0000
Cu 0.7500 0.7500 0.7500
Zr 0.2500 0.2500 0.2500